No. 1
{"formula": "PaAl", "functional": "PBE", "state": "optimized geometry", "cell": [[0.000, 2.968, 2.968], [2.968, 0.000, 2.968], [2.968, 2.968, 0.000]], "species": ["Pa", "Al"], "frac_coords": [[0.000, 0.000, 0.000], [0.500, 0.500, 0.500]]}

***

No. 2
{"formula": "HfCuSb", "functional": "PBE", "state": "optimized geometry", "cell": [[0.000, 3.117, 3.117], [3.117, 0.000, 3.117], [3.117, 3.117, 0.000]], "species": ["Hf", "Cu", "Sb"], "frac_coords": [[0.000, 0.000, 0.000], [0.250, 0.250, 0.250], [0.500, 0.500, 0.500]]}

***

No. 3
{"formula": "SmPbAu", "functional": "PBE", "state": "optimized geometry", "cell": [[4.870, 0.000, 0.000], [-2.435, 4.218, 0.000], [0.000, 0.000, 7.529]], "species": ["Sm", "Sm", "Pb", "Pb", "Au", "Au"], "frac_coords": [[0.000, 0.000, 0.000], [0.000, 0.000, 0.500], [0.333, 0.667, 0.250], [0.667, 0.333, 0.750], [0.333, 0.667, 0.750], [0.667, 0.333, 0.250]]}

***

No. 4
{"formula": "NpPa", "functional": "PBE", "state": "optimized geometry", "polymorph_energy_ev_per_fu": 0.371, "e_form_ev_per_atom": 0.440, "cell": [[0.000, 2.700, 2.700], [2.700, 0.000, 2.700], [2.700, 2.700, 0.000]], "species": ["Np", "Pa"], "frac_coords": [[0.000, 0.000, 0.000], [0.500, 0.500, 0.500]]}

***

Taking the records one at a time from the top gives electronic total energy values of -6.077 -5.929 -4.450 -10.693 eV per atom.